CoWN2O (GGA+U, optimized geometry); volume = 61.6 Å³/cell; SG = P4/mmm, No. 123; final energy = -33.28 eV per cell
1.0
-3.837 -1.088 -0.385
0.395 0.018 -3.987
1.038 -3.692 0.086
O W N Co
1 1 2 1
Direct
0.000 0.000 0.500
0.000 0.000 0.000
0.000 0.500 0.000
0.500 0.000 0.000
0.500 0.500 0.500